# CdReAg

A relaxed structure of CdReAg (PBE, Alexandria via LeMat-Bulk).

a b c (Å): 4.4420 4.4420 4.4420
angles (deg): 60.00 60.00 60.00
Last column: nearest neighbours and their distance in Å.
Fractional coordinates of all 3 atoms:
Re  0.5000  0.5000  0.5000  4 Ag 2.72
Ag  0.2500  0.2500  0.2500  4 Cd 2.72, 4 Re 2.72
Cd  0.0000  0.0000  0.0000  4 Ag 2.72

## Properties
Crystal system: cubic
Energy above the most stable polymorph in this dataset: 889 meV/atom
Space-group type: F-43m, No. 216
Volume: 62 Å³/f.u.
DFT formation energy: 1360 meV per atom